[1]
This record from the Alexandria database describes a relaxed SmHPt crystal. The functional is PBE-GGA.

As for the density of states at the Fermi level: 0.89 states/eV/f.u. As for the crystal system: monoclinic. The uncorrected energy comes out at -33.33 eV/cell. The value obtained for the polymorph energy (0 for the lowest one) is 0 meV/atom. The calculation puts the spin magnetization at 0.0 μB/f.u.

The structure belongs to space group P2_1 (No. 4); the cell edges are 3.812, 4.568 and 6.163 Å and the angles 90.00°, 107.82° and 90.00°. The distinct sites, in fractional coordinates, are Sm at (0.128, 0.000, 0.259), H at (0.307, 0.235, 0.610) and Pt at (0.421, 0.000, 0.841).

---

[2]
This record from the Alexandria database describes a relaxed Sm2HPt crystal. The functional is PBE-GGA.

As for the density of states at the Fermi level: 3.08 states/eV/f.u. As for the crystal system: trigonal. The uncorrected energy comes out at -63.25 eV/cell. The value obtained for the polymorph energy (0 for the lowest one) is 125 meV/atom. The calculation puts the spin magnetization at 0.0 μB/f.u.

The structure belongs to space group R3m (No. 160, hexagonal axes); the cell edges are 3.8727, 3.8727 and 20.7407 Å and the angles 90.00°, 90.00° and 120.00°. The distinct sites, in fractional coordinates, are Sm at (0.0000, 0.0000, 0.0000), Sm at (0.0000, 0.0000, 0.1638), H at (0.0000, 0.0000, 0.7529) and Pt at (0.0000, 0.0000, 0.5820).

---

Repeat the first record exactly.
This record from the Alexandria database describes a relaxed SmHPt crystal. The functional is PBE-GGA.

As for the density of states at the Fermi level: 0.89 states/eV/f.u. As for the crystal system: monoclinic. The uncorrected energy comes out at -33.33 eV/cell. The value obtained for the polymorph energy (0 for the lowest one) is 0 meV/atom. The calculation puts the spin magnetization at 0.0 μB/f.u.

The structure belongs to space group P2_1 (No. 4); the cell edges are 3.812, 4.568 and 6.163 Å and the angles 90.00°, 107.82° and 90.00°. The distinct sites, in fractional coordinates, are Sm at (0.128, 0.000, 0.259), H at (0.307, 0.235, 0.610) and Pt at (0.421, 0.000, 0.841).

---

spin magnetization of number 1 (SmHPt)? 0.0 μB/f.u.